KLa2Ru: optimized geometry, GGA-PBE.

Cell and atoms, written as POSCAR:
```
KLa2Ru
1.0
11.181 0.277 -0.125
9.756 5.469 0.125
-10.430 -3.014 2.691
K La Ru
1 2 1
Direct
0.310 0.810 0.500
0.992 0.992 0.000
0.642 0.142 0.500
0.556 0.556 0.000
```

Output
Space group   Imm2
E_tot   -19.98 eV for the cell shown
ΔE_f   63 meV/atom
Excess energy over the best structure of this formula in the dataset   208.3 meV/atom
Total magnetic moment   0.000 μB per atom


KLa2Ru: optimized geometry, GGA-PBE.

Cell and atoms, written as POSCAR:
```
KLa2Ru
1.0
6.092 0.024 -0.024
-1.793 5.822 -0.024
0.851 1.157 3.127
K La Ru
1 2 1
Direct
0.000 0.500 0.500
0.000 0.000 0.000
0.500 0.500 0.000
0.500 0.000 0.500
```

Output
Space group   C2/m
E_tot   -17.52 eV for the cell shown
ΔE_f   676 meV/atom
Excess energy over the best structure of this formula in the dataset   821.1 meV/atom
Total magnetic moment   0.000 μB per atom


KLa3Ru: optimized geometry, GGA-PBE.

Cell and atoms, written as POSCAR:
```
KLa3Ru
1.0
5.330 0.000 0.000
0.000 5.330 0.000
0.000 0.000 5.330
Ru K La
1 1 3
Direct
0.500 0.500 0.500
0.000 0.000 0.000
0.000 0.500 0.000
0.000 0.000 0.500
0.500 0.000 0.000
```

Output
Space group   Pm-3m
E_tot   -17.16 eV for the cell shown
ΔE_f   1600 meV/atom
Excess energy over the best structure of this formula in the dataset   1615.3 meV/atom
Total magnetic moment   0.003 μB per atom


KLa2Ru: optimized geometry, GGA-PBE.

Cell and atoms, written as POSCAR:
```
KLa2Ru
1.0
4.024 0.000 0.000
0.000 4.211 -0.018
0.000 2.126 9.449
K La Ru
1 2 1
Direct
0.500 0.577 0.723
0.000 0.894 0.083
0.500 0.259 0.358
0.000 0.770 0.335
```

Output
Space group   Pm
E_tot   -20.14 eV for the cell shown
ΔE_f   22 meV/atom
Excess energy over the best structure of this formula in the dataset   167.5 meV/atom
Total magnetic moment   0.000 μB per atom


The highest total magnetic moment belongs to which entry?
KLa3Ru